A plane-wave DFT calculation with PBE was carried out for a geometry-optimized ScAlOs2 structure.

abc: 2.846 4.066 5.380
angles: 90.00 90.00 90.00
Fractional coordinates of all 4 atoms:
Sc  0.000  0.000  0.000
Al  0.500  0.500  0.274
Os  0.000  0.000  0.506
Os  0.500  0.500  0.749

Calculated values
The calculated formation energy is -0.7 eV per formula unit. As for the density of states at the Fermi level: 0.76 states/eV/atom. For the magnetic moment, the calculation gives 0.0 Bohr magnetons per cell.